Pr2Sm2Y5 (PBE, optimized geometry); DFT formation energy = 20.28 kJ/mol of atoms; SG = Ima2 (46); excess energy over the best structure of this formula in the dataset = 0.0 meV/atom
1.0
-7.5556 5.9623 3.4216
7.5556 -5.9623 3.4216
7.5556 5.9623 -3.4216
Pr Sm Y
4 4 10
Direct
0.0019 0.1272 0.1290
0.0019 0.3728 0.3747
0.9981 0.6272 0.6253
0.9981 0.8728 0.8710
0.4412 0.7007 0.2405
0.4602 0.2007 0.7595
0.5478 0.0478 0.5000
0.5478 0.5478 0.0000
0.1127 0.3033 0.7037
0.1127 0.9090 0.3094
0.3962 0.4014 0.4949
0.4381 0.0288 0.1236
0.4381 0.8146 0.9093
0.5996 0.4090 0.2963
0.5996 0.8033 0.6906
0.9052 0.3146 0.8764
0.9052 0.5288 0.0907
0.9065 0.9014 0.5051

Tm2Pb (PBE, optimized geometry); DFT formation energy = -32.28 kJ/mol of atoms; SG = Immm (71)
1.0
-2.4491 3.2736 5.3588
2.4491 -3.2736 5.3588
2.4491 3.2736 -5.3588
Tm Pb
4 2
Direct
0.1706 0.1706 0.0000
0.2537 0.5000 0.7537
0.7463 0.5000 0.2463
0.8294 0.8294 0.0000
0.3397 0.8397 0.5000
0.6603 0.1603 0.5000

AcMgScPb (PBE, optimized geometry); DFT formation energy = -16.79 kJ/mol of atoms; SG = F-43m (216)
1.0
0.0000 3.8871 3.8871
3.8871 0.0000 3.8871
3.8871 3.8871 0.0000
Ac Mg Sc Pb
1 1 1 1
Direct
0.0000 0.0000 0.0000
0.2500 0.2500 0.2500
0.5000 0.5000 0.5000
0.7500 0.7500 0.7500

KRuAu (PBE, optimized geometry); DFT formation energy = 169.39 kJ/mol of atoms; SG = F-43m (216); excess energy over the best structure of this formula in the dataset = 1202.2 meV/atom
1.0
0.0000 3.4343 3.4343
3.4343 0.0000 3.4343
3.4343 3.4343 0.0000
K Ru Au
1 1 1
Direct
0.0000 0.0000 0.0000
0.2500 0.2500 0.2500
0.7500 0.7500 0.7500

La2TlGa3Au4 (PBE, optimized geometry); DFT formation energy = -57.12 kJ/mol of atoms; SG = P-4m2 (115)
1.0
4.4879 0.0000 0.0000
0.0000 4.4879 0.0000
0.0000 0.0000 11.1842
La Tl Ga Au
2 1 3 4
Direct
0.0000 0.5000 0.2371
0.5000 0.0000 0.7629
0.0000 0.0000 0.5000
0.0000 0.5000 0.8773
0.5000 0.0000 0.1227
0.5000 0.5000 0.5000
0.0000 0.0000 0.0000
0.0000 0.5000 0.6529
0.5000 0.0000 0.3471
0.5000 0.5000 0.0000

PmAgSO4 (PBE, optimized geometry); SG = Imma (74); uncorrected formation energy = -1.585 eV/atom
1.0
-3.6837 3.7015 4.1400
3.6837 -3.7015 4.1400
3.6837 3.7015 -4.1400
Pm Ag S O
2 2 2 8
Direct
0.5000 0.0000 0.0000
0.5000 0.5000 0.5000
0.0000 0.0000 0.0000
0.5000 0.0000 0.5000
0.0976 0.3476 0.7500
0.9024 0.6524 0.2500
0.2014 0.2855 0.5841
0.2014 0.6174 0.9159
0.2977 0.2456 0.0521
0.3064 0.7544 0.5521
0.6936 0.2456 0.4479
0.7023 0.7544 0.9479
0.7986 0.3826 0.0841
0.7986 0.7145 0.4159

TaCrCl2 (PBE, optimized geometry); SG = Imm2 (44); uncorrected formation energy = 0.247 eV/atom; excess energy over the best structure of this formula in the dataset = 643.2 meV/atom
1.0
-1.5049 2.2478 5.8678
1.5049 -2.2478 5.8678
1.5049 2.2478 -5.8678
Ta Cr Cl
1 1 2
Direct
0.0000 0.0000 0.0000
0.8096 0.3096 0.5000
0.1875 0.6875 0.5000
0.4837 0.4837 0.0000

Li2Np3Te6 (PBE, optimized geometry); SG = C2/m (12); uncorrected formation energy = -0.739 eV/atom
1.0
3.7926 -6.5697 0.0000
3.7926 6.5697 0.0000
-2.5186 0.0000 7.0039
Li Np Te
2 3 6
Direct
0.1674 0.8326 0.0000
0.8326 0.1674 0.0000
0.0000 0.0000 0.5000
0.3344 0.6656 0.5000
0.6656 0.3344 0.5000
0.0829 0.4174 0.7528
0.2478 0.2478 0.2452
0.4174 0.0829 0.7528
0.5826 0.9171 0.2472
0.7522 0.7522 0.7548
0.9171 0.5826 0.2472